A relaxed KBiIBr2 crystal. Source: Alexandria, functional GGA-PBE.

ρ ... 4.028 g cm⁻³
Space group ... P4/mmm (123)
Raw formation energy ... -19.76 kcal/mol of atoms

Cell lengths 5.9103, 5.9103, 6.3118 Å; angles 90.00, 90.00, 90.00 degrees
Fractional coordinates of all 5 atoms:
K (0.0000, 0.0000, 0.0000)
Bi (0.5000, 0.5000, 0.5000)
I (0.5000, 0.5000, 0.0000)
Br (0.0000, 0.5000, 0.5000)
Br (0.5000, 0.0000, 0.5000)